a | Entry from Alexandria via LeMat-Bulk: a relaxed TbLu2Ga crystal (GGA-PBE).

Values from the calculation:
Fermi-level density of states = 0.91 states/eV per atom

abc: 3.473 3.473 8.712
angles: 90.00 90.00 90.00
Space group P4/mmm (No. 123)
Symmetry-distinct sites (fractional):
Tb: 0.000 0.000 0.000 [1 per cell]
Lu: 0.500 0.500 0.291 [2 per cell]
Ga: 0.000 0.000 0.500 [1 per cell]


b | Entry from Alexandria via LeMat-Bulk: a relaxed TbLu2Ga crystal (GGA-PBE).

Values from the calculation:
Fermi-level density of states = 1.55 states/eV per atom

abc: 3.4256 3.4256 33.4329
angles: 90.00 90.00 120.00
Space group R-3m (No. 166, hexagonal axes)
Symmetry-distinct sites (fractional):
Tb: 0.0000 0.0000 0.0000 [3 per cell]
Lu: 0.0000 0.0000 0.1021 [6 per cell]
Ga: 0.0000 0.0000 0.5000 [3 per cell]


c | Entry from Alexandria via LeMat-Bulk: a relaxed TbLu2Ga crystal (GGA-PBE).

Values from the calculation:
Fermi-level density of states = 1.17 states/eV per atom

abc: 4.661 4.661 4.672
angles: 90.00 90.00 90.00
Space group P4/mmm (No. 123)
Symmetry-distinct sites (fractional):
Tb: 0.000 0.000 0.000 [1 per cell]
Lu: 0.000 0.500 0.500 [2 per cell]
Ga: 0.500 0.500 0.000 [1 per cell]


Name the least stable of them. b.